[1]
The following is a GGA+U calculation of a geometry-optimized SrNiO2 structure, from Alexandria.

a b c (Å): 6.090 3.765 6.082
angles (deg): 90.74 107.29 105.62
Fractional coordinates of all 8 atoms:
Sr1 0.144 0.914 0.315
Sr2 0.815 0.244 0.784
O1 0.068 0.389 0.545
O2 0.548 0.628 0.553
O3 0.240 0.453 0.052
O4 0.712 0.701 0.025
Ni1 0.366 0.534 0.787
Ni2 0.574 0.610 0.260

Calculated values
magnetic moment	4.00	Bohr magnetons per cell
DOS(E_F)	0.00	states/eV/cell
electronic total energy	-41.93	eV per cell

=====

[2]
The following is a GGA+U calculation of a geometry-optimized Sr12Ni3O5 structure, from Alexandria.

a b c (Å): 14.219 14.219 14.219
angles (deg): 109.47 109.47 109.47
Fractional coordinates of all 80 atoms:
Sr1 0.818 0.897 0.020
Sr2 0.378 0.397 0.079
Sr3 0.897 0.818 0.520
Sr4 0.520 0.318 0.897
Sr5 0.201 0.520 0.622
Sr6 0.579 0.878 0.397
Sr7 0.622 0.603 0.921
Sr8 0.682 0.480 0.603
Sr9 0.603 0.980 0.682
Sr10 0.480 0.682 0.103
Sr11 0.103 0.921 0.122
Sr12 0.421 0.299 0.318
Sr13 0.799 0.480 0.378
Sr14 0.818 0.921 0.299
Sr15 0.878 0.299 0.480
Sr16 0.299 0.421 0.818
Sr17 0.878 0.579 0.897
Sr18 0.201 0.682 0.079
Sr19 0.622 0.020 0.201
Sr20 0.020 0.622 0.701
Sr21 0.299 0.878 0.980
Sr22 0.520 0.201 0.122
Sr23 0.122 0.701 0.520
Sr24 0.397 0.020 0.318
Sr25 0.682 0.201 0.579
Sr26 0.122 0.421 0.103
Sr27 0.103 0.182 0.480
Sr28 0.318 0.520 0.397
Sr29 0.318 0.799 0.421
Sr30 0.980 0.378 0.299
Sr31 0.182 0.079 0.701
Sr32 0.799 0.318 0.921
Sr33 0.079 0.897 0.378
Sr34 0.421 0.122 0.603
Sr35 0.579 0.701 0.682
Sr36 0.921 0.103 0.622
Sr37 0.079 0.182 0.201
Sr38 0.480 0.799 0.878
Sr39 0.182 0.103 0.980
Sr40 0.701 0.579 0.182
Sr41 0.897 0.079 0.878
Sr42 0.603 0.622 0.421
Sr43 0.378 0.980 0.799
Sr44 0.980 0.603 0.182
Sr45 0.701 0.122 0.020
Sr46 0.921 0.818 0.799
Sr47 0.020 0.397 0.818
Sr48 0.397 0.378 0.579
Ni1 0.375 0.750 0.625
Ni2 0.250 0.625 0.875
Ni3 0.875 0.750 0.125
Ni4 0.375 0.625 0.250
Ni5 0.875 0.125 0.250
Ni6 0.125 0.250 0.875
Ni7 0.750 0.875 0.625
Ni8 0.625 0.250 0.375
Ni9 0.750 0.375 0.125
Ni10 0.625 0.375 0.750
Ni11 0.250 0.125 0.375
Ni12 0.125 0.875 0.750
O1 0.500 0.000 0.000
O2 0.250 0.375 0.625
O3 0.125 0.375 0.250
O4 0.625 0.875 0.250
O5 0.500 0.000 0.500
O6 0.250 0.875 0.125
O7 0.000 0.000 0.500
O8 0.000 0.000 0.000
O9 0.500 0.500 0.000
O10 0.750 0.625 0.375
O11 0.625 0.750 0.875
O12 0.750 0.125 0.875
O13 0.000 0.500 0.500
O14 0.375 0.125 0.750
O15 0.375 0.250 0.125
O16 0.500 0.500 0.500
O17 0.875 0.625 0.750
O18 0.000 0.500 0.000
O19 0.125 0.750 0.375
O20 0.875 0.250 0.625

Calculated values
magnetic moment	0.00	Bohr magnetons per cell
DOS(E_F)	36.16	states/eV/cell
electronic total energy	-292.13	eV per cell

=====

[3]
The following is a GGA+U calculation of a geometry-optimized SrNiO2 structure, from Alexandria.

a b c (Å): 8.430 3.652 3.822
angles (deg): 90.00 90.00 102.50
Fractional coordinates of all 8 atoms:
O1 0.314 0.741 0.431
O2 0.779 0.968 0.431
O3 0.061 0.610 0.931
O4 0.531 0.877 0.931
Sr1 0.084 0.126 0.431
Sr2 0.758 0.467 0.931
Ni1 0.547 0.855 0.431
Ni2 0.298 0.736 0.931

Calculated values
magnetic moment	0.92	Bohr magnetons per cell
DOS(E_F)	0.92	states/eV/cell
electronic total energy	-42.17	eV per cell